Below is CaCu2Ru after structural relaxation, with properties calculated at the PBE-GGA level.

Summary:
formation energy from the elements: 365 meV/atom
spin magnetization: 0.0 μB/f.u.
SG: Immm (71)

a b c (Å): 5.483 5.483 5.483
angles (deg): 148.11 130.05 60.49
Sites, in units of the cell vectors:
Ca: 0.000 0.000 0.000
Cu: 0.275 0.775 0.500
Cu: 0.725 0.225 0.500
Ru: 0.500 0.500 0.000

Below is CaCu2Ru after structural relaxation, with properties calculated at the PBE-GGA level.

Summary:
formation energy from the elements: 305 meV/atom
spin magnetization: 0.0 μB/f.u.
SG: C2/m (12)

a b c (Å): 4.749 4.749 5.344
angles (deg): 98.28 98.28 34.44
Sites, in units of the cell vectors:
Ca: 0.000 0.000 0.000
Cu: 0.235 0.235 0.682
Cu: 0.765 0.765 0.318
Ru: 0.500 0.500 0.500

Below is CaCu2Ru2 after structural relaxation, with properties calculated at the PBE-GGA level.

Summary:
formation energy from the elements: 294 meV/atom
spin magnetization: 1.0 μB/f.u.
SG: P4/mbm (127)

a b c (Å): 7.558 7.558 2.776
angles (deg): 90.00 90.00 90.00
Sites, in units of the cell vectors:
Ca: 0.000 0.000 0.000
Ca: 0.500 0.500 0.000
Cu: 0.180 0.320 0.500
Cu: 0.320 0.820 0.500
Cu: 0.680 0.180 0.500
Cu: 0.820 0.680 0.500
Ru: 0.115 0.615 0.000
Ru: 0.385 0.115 0.000
Ru: 0.615 0.885 0.000
Ru: 0.885 0.385 0.000

Below is CaCuRu after structural relaxation, with properties calculated at the PBE-GGA level.

Summary:
formation energy from the elements: 643 meV/atom
spin magnetization: 0.8 μB/f.u.
SG: P3m1 (156)

a b c (Å): 3.007 3.007 6.812
angles (deg): 90.00 90.00 120.00
Sites, in units of the cell vectors:
Ca: 0.000 0.000 0.000
Cu: 0.667 0.333 0.368
Ru: 0.333 0.667 0.658